{
  "formula": "ZrSn4",
  "functional": "PBE",
  "state": "optimized geometry",
  "magmom_total_mub_per_cell": 0.0,
  "dft_energy_ev_per_atom": -4.532,
  "lattice_angstrom": [[-3.4992, -4.2555, 0.7036], [3.8244, -2.6421, 3.0401], [-1.9946, 2.3998, 4.5948]],
  "species": ["Sn", "Sn", "Sn", "Sn", "Zr"],
  "frac_coords": [[0.0000, 0.0000, 0.0000], [0.5000, 0.0000, 0.5000], [0.0000, 0.5000, 0.5000], [0.5000, 0.5000, 0.0000], [0.5000, 0.5000, 0.5000]]
}